No. 1
LaTmAg: relaxed, GGA-PBE.

## Properties
The symmetry is I4mm. For the density of states at the Fermi level, the calculation gives 1.21 states/eV/atom. The value obtained for the offset from the most stable computed form is 0.0 kJ/mol of atoms. The energy of formation from the pure elements is -168 meV/atom. As for the uncorrected energy: -4.252 eV per atom.

a b c (Å): 3.6478 3.6478 6.9427
angles (deg): 105.23 105.23 90.00
Closest atoms and distances in Å follow each position.
Sites, in units of the cell vectors:
Ag1 0.6822 0.6822 0.3644  4 Tm 3.04, 4 La 3.39
La1 0.0110 0.0110 0.0220  4 Ag 3.39, 4 La 3.65, 4 Tm 3.69
Tm1 0.3068 0.3068 0.6136  4 Ag 3.04

---

No. 2
PmDy3Bi4: relaxed, GGA-PBE.

## Properties
The symmetry is Pm-3m. For the density of states at the Fermi level, the calculation gives 0.06 states/eV/atom. The value obtained for the offset from the most stable computed form is 0.0 kJ/mol of atoms. The energy of formation from the pure elements is -880 meV/atom. As for the uncorrected energy: -5.140 eV per atom.

a b c (Å): 6.3641 6.3641 6.3641
angles (deg): 90.00 90.00 90.00
Closest atoms and distances in Å follow each position.
Sites, in units of the cell vectors:
Bi1 0.0000 0.5000 0.0000  4 Dy 3.18, 2 Pm 3.18
Bi2 0.5000 0.5000 0.5000  6 Dy 3.18
Bi3 0.5000 0.0000 0.0000  4 Dy 3.18, 2 Pm 3.18
Bi4 0.0000 0.0000 0.5000  4 Dy 3.18, 2 Pm 3.18
Dy1 0.5000 0.0000 0.5000  6 Bi 3.18
Dy2 0.5000 0.5000 0.0000  6 Bi 3.18
Dy3 0.0000 0.5000 0.5000  6 Bi 3.18
Pm1 0.0000 0.0000 0.0000  6 Bi 3.18